! Ca3FePt, relaxed, DFT PBE; values from VASP
&SYSTEM
  ibrav = 0, nat = 5, ntyp = 3
/
ATOMIC_SPECIES
Ca 40.08 Ca.upf
Pt 195.08 Pt.upf
Fe 55.84 Fe.upf
CELL_PARAMETERS angstrom
-4.7191 1.0347 -2.6028
0.9702 -4.1799 -3.4208
-2.6275 -3.4019 3.4116
ATOMIC_POSITIONS angstrom
Ca 0.4851 -2.0900 -1.7104
Ca -2.3596 0.5174 -1.3014
Ca -1.3138 -1.7009 1.7058
Pt 0.0000 0.0000 0.0000
Fe -3.1882 -3.2735 -1.3060
! Crystal system = cubic
! Energy relative to the lowest polymorph listed for this composition = 0.000 eV/atom